A plane-wave DFT calculation with PBE was carried out for crystalline Li5HF8 at its relaxed geometry.

## Properties
Electronic total energy: -0.3011 Ry/atom

Structure (extended XYZ):
```
14
Lattice="5.679 0.000 0.000 2.839 4.918 0.000 2.839 1.639 4.637" Properties=species:S:1:pos:R:3 pbc="T T T"
Li 0.000 0.000 0.000
Li 5.679 3.279 0.554
Li 7.119 4.110 2.906
Li 4.238 4.110 2.906
Li 5.679 1.615 2.906
H 2.839 1.639 1.159
F 5.679 5.062 1.688
F 7.224 2.387 1.688
F 4.134 2.387 1.688
F 5.679 3.279 4.210
F 8.518 4.918 1.831
F 7.173 5.694 4.026
F 9.862 5.694 4.026
F 8.518 3.365 4.026
```